(1)
Entry from the Open Quantum Materials Database: crystalline Na6MgHg at its relaxed geometry (PBE-GGA).

Structure (CIF):
```
data_Na6MgHg
_chemical_formula_sum 'Na6 Mg1 Hg1'
_cell_length_a 6.9262
_cell_length_b 6.9262
_cell_length_c 5.6032
_cell_angle_alpha 90.00
_cell_angle_beta 90.00
_cell_angle_gamma 120.00
_space_group_name_H-M_alt 'P -6 m 2'
_space_group_IT_number 187
_space_group_name_Hall 'P -6 2'
loop_
_atom_site_label
_atom_site_fract_x
_atom_site_fract_y
_atom_site_fract_z
Na1 0.0078 0.5039 0.0000
Na2 0.3220 0.1610 0.5000
Mg1 0.3333 0.6667 0.5000
Hg1 0.0000 0.0000 0.0000
```

Summary:
energy	-9.914	eV for the cell shown



(2)
Entry from the Open Quantum Materials Database: crystalline SrGdNi2P2 at its relaxed geometry (PBE-GGA).

Structure (CIF):
```
data_SrGdNi2P2
_chemical_formula_sum 'Sr1 Gd1 Ni2 P2'
_cell_length_a 3.9258
_cell_length_b 3.9258
_cell_length_c 8.3175
_cell_angle_alpha 90.00
_cell_angle_beta 90.00
_cell_angle_gamma 120.00
_space_group_name_H-M_alt 'P -3 m 1'
_space_group_IT_number 164
_space_group_name_Hall '-P 3 2"'
loop_
_atom_site_label
_atom_site_fract_x
_atom_site_fract_y
_atom_site_fract_z
Sr1 0.0000 0.0000 0.0000
Gd1 0.0000 0.0000 0.5000
Ni1 0.3333 0.6667 0.7322
P1 0.3333 0.6667 0.2681
```

Summary:
energy	-34.609	eV for the cell shown



(3)
Entry from the Open Quantum Materials Database: crystalline ErAgSb at its relaxed geometry (PBE-GGA).

Structure (CIF):
```
data_ErAgSb
_chemical_formula_sum 'Er4 Ag4 Sb4'
_cell_length_a 6.729
_cell_length_b 6.729
_cell_length_c 6.729
_cell_angle_alpha 90.00
_cell_angle_beta 90.00
_cell_angle_gamma 90.00
_space_group_name_H-M_alt 'F -4 3 m'
_space_group_IT_number 216
_space_group_name_Hall 'F -4 2 3'
loop_
_atom_site_label
_atom_site_fract_x
_atom_site_fract_y
_atom_site_fract_z
Er1 0.000 0.000 0.000
Ag1 0.250 0.250 0.250
Sb1 0.000 0.000 0.500
```

Summary:
energy	-51.200	eV for the cell shown



(4)
Entry from the Open Quantum Materials Database: crystalline Sm2GdCu at its relaxed geometry (PBE-GGA).

Structure (CIF):
```
data_Sm2GdCu
_chemical_formula_sum 'Sm4 Gd2 Cu2'
_cell_length_a 7.231
_cell_length_b 5.459
_cell_length_c 5.443
_cell_angle_alpha 90.00
_cell_angle_beta 90.00
_cell_angle_gamma 90.00
_space_group_name_H-M_alt 'P m m a'
_space_group_IT_number 51
loop_
_space_group_symop_operation_xyz
'x,y,z'
'-x,-y,-z'
'-x+1/2,-y,z'
'x+1/2,y,-z'
'x+1/2,-y,-z'
'-x+1/2,y,z'
'-x,y,-z'
'x,-y,z'
loop_
_atom_site_label
_atom_site_fract_x
_atom_site_fract_y
_atom_site_fract_z
Sm1 0.000 0.000 0.000
Sm2 0.250 0.000 0.499
Gd1 0.250 0.500 0.999
Cu1 0.000 0.500 0.500
```

Summary:
formation energy from the elements	0.13	eV/atom